Below is a geometry-optimized GeTe2O structure, with properties calculated at the GGA-PBEsol level.

Unit cell a=7.7594 b=7.7594 c=7.7594 alpha=29.74 beta=29.74 gamma=29.74
Fractional positions:
1 Ge 0.0000 0.0000 0.0000
2 Te 0.4096 0.4096 0.4096
3 Te 0.5904 0.5904 0.5904
4 O 0.5000 0.5000 0.5000

Summary:
Total magnetization in μB per cell: 0.00
Density of states at the Fermi level in states/eV/cell: 1.78
Formation energy without anion corrections in eV/atom: 0.00
Symmetry: R-3m

Below is a geometry-optimized TiGeO2 structure, with properties calculated at the GGA-PBEsol level.

Unit cell a=6.5159 b=6.5159 c=6.5159 alpha=28.56 beta=28.56 gamma=28.56
Fractional positions:
1 Ti 0.0000 0.0000 0.0000
2 Ge 0.5000 0.5000 0.5000
3 O 0.0994 0.0994 0.0994
4 O 0.9006 0.9006 0.9006

Summary:
Total magnetization in μB per cell: 0.00
Density of states at the Fermi level in states/eV/cell: 0.97
Formation energy without anion corrections in eV/atom: -1.21
Symmetry: R-3m

Below is a geometry-optimized TiZnGe2O6 structure, with properties calculated at the GGA-PBEsol level.

Unit cell a=11.5604 b=8.4144 c=5.2823 alpha=90.00 beta=98.76 gamma=90.00
Fractional positions:
1 Ti 0.2150 0.1571 0.1483
2 Ti 0.2150 0.3429 0.6483
3 Ti 0.7850 0.6571 0.3517
4 Ti 0.7850 0.8429 0.8517
5 Zn 0.2607 0.5499 0.1626
6 Zn 0.2607 0.9501 0.6626
7 Zn 0.7393 0.0499 0.3374
8 Zn 0.7393 0.4501 0.8374
9 Ge 0.0363 0.6536 0.7449
10 Ge 0.0363 0.8464 0.2449
11 Ge 0.4287 0.6356 0.6912
12 Ge 0.4287 0.8644 0.1912
13 Ge 0.5713 0.1356 0.8088
14 Ge 0.5713 0.3644 0.3088
15 Ge 0.9637 0.1536 0.7551
16 Ge 0.9637 0.3464 0.2551
17 O 0.0813 0.0390 0.2129
18 O 0.0813 0.4610 0.7129
19 O 0.1054 0.7034 0.0637
20 O 0.1054 0.7966 0.5637
21 O 0.1155 0.1596 0.7725
22 O 0.1155 0.3404 0.2725
23 O 0.2842 0.1613 0.4900
24 O 0.2842 0.3387 0.9900
25 O 0.3002 0.5050 0.5294
26 O 0.3002 0.9950 0.0294
27 O 0.3577 0.6878 0.9861
28 O 0.3577 0.8122 0.4861
29 O 0.6423 0.1878 0.5139
30 O 0.6423 0.3122 0.0139
31 O 0.6998 0.0050 0.9706
32 O 0.6998 0.4950 0.4706
33 O 0.7158 0.6613 0.0100
34 O 0.7158 0.8387 0.5100
35 O 0.8845 0.6596 0.7275
36 O 0.8845 0.8404 0.2275
37 O 0.8946 0.2034 0.4363
38 O 0.8946 0.2966 0.9363
39 O 0.9187 0.5390 0.2871
40 O 0.9187 0.9610 0.7871

Summary:
Total magnetization in μB per cell: 0.00
Density of states at the Fermi level in states/eV/cell: 0.00
Formation energy without anion corrections in eV/atom: -1.90
Symmetry: P2_1/c

Below is a geometry-optimized VGeO3 structure, with properties calculated at the GGA-PBEsol level.

Unit cell a=7.7595 b=7.7595 c=4.9136 alpha=103.25 beta=103.25 gamma=64.71
Fractional positions:
1 V 0.0748 0.9252 0.7500
2 V 0.2700 0.7300 0.2500
3 V 0.7300 0.2700 0.7500
4 V 0.9252 0.0748 0.2500
5 Ge 0.2184 0.4359 0.6173
6 Ge 0.4359 0.2184 0.1173
7 Ge 0.5641 0.7816 0.8827
8 Ge 0.7816 0.5641 0.3827
9 O 0.0127 0.8280 0.3586
10 O 0.1679 0.6710 0.8635
11 O 0.1720 0.9873 0.1414
12 O 0.3194 0.4843 0.3299
13 O 0.3290 0.8321 0.6365
14 O 0.4843 0.3194 0.8299
15 O 0.5157 0.6806 0.1701
16 O 0.6710 0.1679 0.3635
17 O 0.6806 0.5157 0.6701
18 O 0.8280 0.0127 0.8586
19 O 0.8321 0.3290 0.1365
20 O 0.9873 0.1720 0.6414

Summary:
Total magnetization in μB per cell: 4.00
Density of states at the Fermi level in states/eV/cell: 8.46
Formation energy without anion corrections in eV/atom: -1.83
Symmetry: C2/c

Below is a geometry-optimized VGe2O6 structure, with properties calculated at the GGA-PBEsol level.

Unit cell a=6.6093 b=6.6093 c=5.5197 alpha=104.82 beta=104.82 gamma=83.28
Fractional positions:
1 V 0.0955 0.9045 0.7500
2 V 0.9045 0.0955 0.2500
3 Ge 0.2067 0.3832 0.7354
4 Ge 0.3832 0.2067 0.2354
5 Ge 0.6168 0.7933 0.7646
6 Ge 0.7933 0.6168 0.2646
7 O 0.0353 0.1712 0.6209
8 O 0.0782 0.6318 0.7470
9 O 0.1712 0.0353 0.1209
10 O 0.3362 0.3962 0.0559
11 O 0.3682 0.9218 0.7530
12 O 0.3962 0.3362 0.5559
13 O 0.6038 0.6638 0.4441
14 O 0.6318 0.0782 0.2470
15 O 0.6638 0.6038 0.9441
16 O 0.8288 0.9647 0.8791
17 O 0.9218 0.3682 0.2530
18 O 0.9647 0.8288 0.3791

Summary:
Total magnetization in μB per cell: 2.00
Density of states at the Fermi level in states/eV/cell: 7.10
Formation energy without anion corrections in eV/atom: -1.82
Symmetry: C2/c

Below is a geometry-optimized VZnGe2O6 structure, with properties calculated at the GGA-PBEsol level.

Unit cell a=6.6119 b=6.6119 c=5.2132 alpha=98.26 beta=98.26 gamma=85.55
Fractional positions:
1 V 0.0881 0.9119 0.7500
2 V 0.9119 0.0881 0.2500
3 Zn 0.2750 0.7250 0.2500
4 Zn 0.7250 0.2750 0.7500
5 Ge 0.2071 0.3999 0.7061
6 Ge 0.3999 0.2071 0.2061
7 Ge 0.6001 0.7929 0.7939
8 Ge 0.7929 0.6001 0.2939
9 O 0.0257 0.2042 0.6286
10 O 0.1341 0.6345 0.8802
11 O 0.2042 0.0257 0.1286
12 O 0.2921 0.4322 0.3966
13 O 0.3655 0.8659 0.6198
14 O 0.4322 0.2921 0.8966
15 O 0.5678 0.7079 0.1034
16 O 0.6345 0.1341 0.3802
17 O 0.7079 0.5678 0.6034
18 O 0.7958 0.9743 0.8714
19 O 0.8659 0.3655 0.1198
20 O 0.9743 0.7958 0.3714

Summary:
Total magnetization in μB per cell: 5.26
Density of states at the Fermi level in states/eV/cell: 8.30
Formation energy without anion corrections in eV/atom: -1.62
Symmetry: C2/c

The highest total magnetization belongs to which entry?
VZnGe2O6

Which of these has the highest formation energy without anion corrections?
GeTe2O